[1]
The following is a PBE-GGA calculation of crystalline Pm2HoTmSc5 at its relaxed geometry, from Alexandria via LeMat-Bulk.

Results
formation energy: 2.51 eV/f.u.
magnetic moment: 0.00 μB/cell
total energy: -5.30 eV/atom

Lattice parameters (Å, degrees): 8.268 8.268 14.570 90.00 90.00 90.00
Space group I4/mcm (No. 140)
Asymmetric unit:
Pm (0.120, 0.380, 0.000) x8
Ho (0.000, 0.500, 0.250) x4
Tm (0.000, 0.000, 0.250) x4
Sc (0.000, 0.000, 0.000) x4
Sc (0.211, 0.289, 0.361) x16

=====

[2]
The following is a PBE-GGA calculation of crystalline La3GdO at its relaxed geometry, from Alexandria via LeMat-Bulk.

Results
raw formation energy: -1.14 eV/atom
magnetic moment: 7.39 μB/cell
total energy: -7.90 eV/atom

Lattice parameters (Å, degrees): 5.180 5.180 5.180 90.00 90.00 90.00
Space group Pm-3m (No. 221)
Asymmetric unit:
La (0.000, 0.000, 0.500) x3
Gd (0.500, 0.500, 0.500) x1
O (0.000, 0.000, 0.000) x1

=====

[3]
The following is a PBE-GGA calculation of crystalline YCrP2 at its relaxed geometry, from Alexandria via LeMat-Bulk.

Results
energy above the lowest structure with this stoichiometry: 0.256 eV per atom
formation energy: -2.60 eV/f.u.
magnetic moment: 4.99 μB/cell
total energy: -7.38 eV/atom

Lattice parameters (Å, degrees): 4.353 3.658 10.118 90.00 90.00 90.00
Space group Amm2 (No. 38)
Asymmetric unit:
Y (0.000, 0.000, 0.000) x2
Cr (0.500, 0.000, 0.770) x2
P (0.000, 0.000, 0.712) x2
P (0.500, 0.000, 0.417) x2

=====

[4]
The following is a PBE-GGA calculation of crystalline CaScTe2 at its relaxed geometry, from Alexandria via LeMat-Bulk.

Results
energy above the lowest structure with this stoichiometry: 0.048 eV per atom
raw formation energy: -1.30 eV/atom
magnetic moment: 0.00 μB/cell
total energy: -4.96 eV/atom

Lattice parameters (Å, degrees): 4.2170 4.2170 22.5358 90.00 90.00 120.00
Space group R3m (No. 160, hexagonal axes)
Asymmetric unit:
Ca (0.0000, 0.0000, 0.0000) x3
Sc (0.0000, 0.0000, 0.1713) x3
Te (0.0000, 0.0000, 0.5784) x3
Te (0.0000, 0.0000, 0.7603) x3

=====

[5]
The following is a PBE-GGA calculation of crystalline CaScZn2 at its relaxed geometry, from Alexandria via LeMat-Bulk.

Results
formation energy: 0.18 eV/f.u.
magnetic moment: 0.00 μB/cell
total energy: -2.68 eV/atom

Lattice parameters (Å, degrees): 3.5301 3.5301 26.8479 90.00 90.00 120.00
Space group R3m (No. 160, hexagonal axes)
Asymmetric unit:
Ca (0.0000, 0.0000, 0.0000) x3
Sc (0.0000, 0.0000, 0.7802) x3
Zn (0.0000, 0.0000, 0.2481) x3
Zn (0.0000, 0.0000, 0.5212) x3

=====

[6]
The following is a PBE-GGA calculation of crystalline Pm2Y3ThTe6 at its relaxed geometry, from Alexandria via LeMat-Bulk.

Results
raw formation energy: -1.29 eV/atom
magnetic moment: 0.00 μB/cell
total energy: -5.88 eV/atom

Lattice parameters (Å, degrees): 19.384 4.373 8.925 90.00 104.78 90.00
Space group C2/m (No. 12)
Asymmetric unit:
Pm (0.162, 0.000, 0.324) x4
Y (0.000, 0.500, 0.500) x2
Y (0.166, 0.000, 0.832) x4
Th (0.000, 0.500, 0.000) x2
Te (0.003, 0.000, 0.743) x4
Te (0.167, 0.500, 0.586) x4
Te (0.170, 0.500, 0.076) x4

=====

[7]
The following is a PBE-GGA calculation of crystalline CaNp2Si6 at its relaxed geometry, from Alexandria via LeMat-Bulk.

Results
raw formation energy: -0.26 eV/atom
magnetic moment: 7.59 μB/cell
total energy: -6.97 eV/atom

Lattice parameters (Å, degrees): 7.0383 7.0383 3.9029 90.00 90.00 120.00
Space group P6/mmm (No. 191)
Asymmetric unit:
Ca (0.0000, 0.0000, 0.0000) x1
Np (0.3333, 0.6667, 0.0000) x2
Si (0.0000, 0.3356, 0.5000) x6

=====

[8]
The following is a PBE-GGA calculation of crystalline Nb2CdSi2 at its relaxed geometry, from Alexandria via LeMat-Bulk.

Results
energy above the lowest structure with this stoichiometry: 0.234 eV per atom
raw formation energy: -0.03 eV/atom
magnetic moment: 0.00 μB/cell
total energy: -6.41 eV/atom

Lattice parameters (Å, degrees): 4.140 4.140 11.016 90.00 90.00 90.00
Space group I4/mmm (No. 139)
Asymmetric unit:
Nb (0.000, 0.500, 0.250) x4
Cd (0.000, 0.000, 0.000) x2
Si (0.000, 0.000, 0.396) x4

=====

[9]
The following is a PBE-GGA calculation of crystalline MgH at its relaxed geometry, from Alexandria via LeMat-Bulk.

Results
energy above the lowest structure with this stoichiometry: 0.061 eV per atom
magnetic moment: 0.00 μB/cell
total energy: -2.48 eV/atom

Lattice parameters (Å, degrees): 6.418 6.735 9.348 90.00 90.00 90.00
Space group Fddd (No. 70, origin choice 2)
Asymmetric unit:
Mg (0.121, 0.375, 0.375) x16
H (0.125, 0.125, 0.498) x16

=====

[10]
The following is a PBE-GGA calculation of crystalline Ag2HPtPb at its relaxed geometry, from Alexandria via LeMat-Bulk.

Results
magnetic moment: 0.00 μB/cell
total energy: -3.64 eV/atom

Lattice parameters (Å, degrees): 4.741 4.741 3.670 90.00 90.00 90.00
Space group P4/mmm (No. 123)
Asymmetric unit:
Ag (0.000, 0.500, 0.000) x2
H (0.000, 0.000, 0.000) x1
Pt (0.000, 0.000, 0.500) x1
Pb (0.500, 0.500, 0.500) x1

=====

[11]
The following is a PBE-GGA calculation of crystalline KLaTa2 at its relaxed geometry, from Alexandria via LeMat-Bulk.

Results
energy above the lowest structure with this stoichiometry: 0.441 eV per atom
formation energy: 3.98 eV/f.u.
magnetic moment: 0.00 μB/cell
total energy: -6.44 eV/atom

Lattice parameters (Å, degrees): 3.116 5.161 12.312 90.00 90.00 90.00
Space group Cmmm (No. 65)
Asymmetric unit:
K (0.000, 0.000, 0.000) x2
La (0.000, 0.000, 0.500) x2
Ta (0.000, 0.500, 0.267) x4

=====

[12]
The following is a PBE-GGA calculation of crystalline Ba2ErCd3Sn4 at its relaxed geometry, from Alexandria via LeMat-Bulk.

Results
formation energy: -4.78 eV/f.u.
magnetic moment: 0.00 μB/cell
total energy: -3.19 eV/atom

Lattice parameters (Å, degrees): 4.979 4.979 12.526 90.00 90.00 90.00
Space group P-4m2 (No. 115)
Asymmetric unit:
Ba (0.000, 0.500, 0.237) x2
Er (0.000, 0.000, 0.500) x1
Cd (0.000, 0.500, 0.869) x2
Cd (0.500, 0.500, 0.500) x1
Sn (0.000, 0.000, 0.000) x1
Sn (0.000, 0.500, 0.639) x2
Sn (0.500, 0.500, 0.000) x1

=====

[13]
The following is a PBE-GGA calculation of crystalline CaRhSe2O6 at its relaxed geometry, from Alexandria via LeMat-Bulk.

Results
raw formation energy: -0.94 eV/atom
magnetic moment: 2.04 μB/cell
total energy: -5.55 eV/atom

Lattice parameters (Å, degrees): 5.4673 5.4673 15.7608 90.00 90.00 120.00
Space group R-3 (No. 148, hexagonal axes)
Asymmetric unit:
Ca (0.0000, 0.0000, 0.0000) x3
Rh (0.0000, 0.0000, 0.5000) x3
Se (0.0000, 0.0000, 0.2599) x6
O (0.0110, 0.7002, 0.4247) x18

=====

[14]
The following is a PBE-GGA calculation of crystalline Th3Bi2Ir at its relaxed geometry, from Alexandria via LeMat-Bulk.

Results
formation energy: -4.35 eV/f.u.
magnetic moment: 0.00 μB/cell
total energy: -7.20 eV/atom

Lattice parameters (Å, degrees): 7.660 13.076 7.988 90.00 108.87 90.00
Space group C2/m (No. 12)
Asymmetric unit:
Th (0.202, 0.000, 0.208) x4
Th (0.245, 0.184, 0.779) x8
Bi (0.000, 0.000, 0.500) x2
Bi (0.000, 0.350, 0.500) x4
Bi (0.000, 0.500, 0.000) x2
Ir (0.000, 0.169, 0.000) x4

=====

[15]
The following is a PBE-GGA calculation of crystalline Hf3HgAu at its relaxed geometry, from Alexandria via LeMat-Bulk.

Results
energy above the lowest structure with this stoichiometry: 0.000 eV per atom
formation energy: 3.26 eV/f.u.
magnetic moment: 0.00 μB/cell
total energy: -6.04 eV/atom

Lattice parameters (Å, degrees): 5.111 5.111 5.111 90.00 90.00 90.00
Space group Pm-3m (No. 221)
Asymmetric unit:
Hf (0.000, 0.000, 0.500) x3
Hg (0.500, 0.500, 0.500) x1
Au (0.000, 0.000, 0.000) x1

=====

[16]
The following is a PBE-GGA calculation of crystalline Y2Cu5Ni2Ag at its relaxed geometry, from Alexandria via LeMat-Bulk.

Results
formation energy: -1.77 eV/f.u.
magnetic moment: 0.00 μB/cell
total energy: -4.96 eV/atom

Lattice parameters (Å, degrees): 9.030 9.030 3.859 90.00 90.00 90.00
Space group P4/mbm (No. 127)
Asymmetric unit:
Y (0.180, 0.320, 0.000) x4
Cu (0.000, 0.500, 0.500) x2
Cu (0.061, 0.789, 0.500) x8
Ni (0.115, 0.615, 0.000) x4
Ag (0.000, 0.000, 0.000) x2

=====

[17]
The following is a PBE-GGA calculation of crystalline V2TcAg at its relaxed geometry, from Alexandria via LeMat-Bulk.

Results
formation energy: 0.46 eV/f.u.
magnetic moment: 0.00 μB/cell
total energy: -7.75 eV/atom

Lattice parameters (Å, degrees): 3.062 3.062 6.372 90.00 90.00 90.00
Space group P4/mmm (No. 123)
Asymmetric unit:
V (0.000, 0.000, 0.220) x2
Tc (0.500, 0.500, 0.000) x1
Ag (0.500, 0.500, 0.500) x1

=====

[18]
The following is a PBE-GGA calculation of crystalline MnFeIrOs at its relaxed geometry, from Alexandria via LeMat-Bulk.

Results
formation energy: 0.43 eV/f.u.
magnetic moment: 25.18 μB/cell
total energy: -9.32 eV/atom

Lattice parameters (Å, degrees): 5.989 5.989 5.989 90.00 90.00 90.00
Space group F-43m (No. 216)
Asymmetric unit:
Mn (0.000, 0.000, 0.000) x4
Fe (0.000, 0.000, 0.500) x4
Ir (0.250, 0.250, 0.250) x4
Os (0.250, 0.250, 0.750) x4

=====

[19]
The following is a PBE-GGA calculation of crystalline Se2I3Br2 at its relaxed geometry, from Alexandria via LeMat-Bulk.

Results
raw formation energy: 0.03 eV/atom
magnetic moment: 0.00 μB/cell
total energy: -2.11 eV/atom

Lattice parameters (Å, degrees): 4.920 7.224 9.852 80.56 76.67 88.39
Space group P-1 (No. 2)
Asymmetric unit:
Se (0.063, 0.051, 0.372) x2
I (0.000, 0.000, 0.000) x1
I (0.255, 0.220, 0.723) x2
Br (0.380, 0.314, 0.353) x2

=====

[20]
The following is a PBE-GGA calculation of crystalline SrHfOs3 at its relaxed geometry, from Alexandria via LeMat-Bulk.

Results
energy above the lowest structure with this stoichiometry: 0.000 eV per atom
formation energy: 7.87 eV/f.u.
magnetic moment: 1.30 μB/cell
total energy: -7.49 eV/atom

Lattice parameters (Å, degrees): 4.917 4.917 4.917 90.00 90.00 90.00
Space group Pm-3m (No. 221)
Asymmetric unit:
Sr (0.000, 0.000, 0.000) x1
Hf (0.500, 0.500, 0.500) x1
Os (0.000, 0.500, 0.500) x3